## Cs2MgCo3F12 (GGA+U)

Data for an optimized crystal structure of Cs2MgCo3F12.

abc: 7.2609 7.2609 7.2609
angles: 61.36 61.36 61.36
Sites, in units of the cell vectors:
1 Cs 0.6248 0.6248 0.6248
2 Cs 0.3752 0.3752 0.3752
3 Mg 0.0000 0.0000 0.0000
4 Co 0.5000 0.0000 0.0000
5 Co 0.0000 0.5000 0.0000
6 Co 0.0000 0.0000 0.5000
7 F 0.3178 0.3178 0.9310
8 F 0.9317 0.9317 0.3235
9 F 0.3235 0.9317 0.9317
10 F 0.9310 0.3178 0.3178
11 F 0.9317 0.3235 0.9317
12 F 0.3178 0.9310 0.3178
13 F 0.6822 0.6822 0.0690
14 F 0.0683 0.0683 0.6765
15 F 0.6765 0.0683 0.0683
16 F 0.0690 0.6822 0.6822
17 F 0.0683 0.6765 0.0683
18 F 0.6822 0.0690 0.6822

Summary:
ρ: 4136 kg/m³
Electronic total energy: -4.722 eV per atom
Magnetic moment: 7.0 μB/f.u.